Density functional theory data (meta-GGA SCAN) for BePbBr2 at its PBEsol-relaxed geometry.

abc: 5.185 5.185 7.364
angles: 90.00 90.00 90.00
Space group I4/mmm (No. 139)
Unique sites:
Be: 0.000 0.000 0.000
Pb: 0.000 0.000 0.500
Br: 0.000 0.500 0.250

Calculated values
The crystal system is tetragonal. The relative energy among the computed polymorphs comes out at 49 kJ/mol of formula units. As for the formation energy from raw total energies: 97 kJ/mol of formula units. As for the volume: 24.7 A^3/atom.